The following is a DFT calculation (GGA-PBE) of an optimized crystal structure of KYIr2.

## Properties
Energy relative to the lowest polymorph listed for this composition = 0.134 eV/atom
E = -6.126 eV per atom
Calculated volume = 96.5 Å³ per cell
Total moment = 0.56 μB per formula unit
Mass density = 8.81 g/cm³

Cell: 3.1084 4.1374 7.5071 Å, 90.00 90.00 90.00°
Last column: nearest neighbours and their distance in Å.
Space group Pmmm (No. 47)
Inequivalent atoms, fractional coordinates:
K 0.0000 0.0000 0.0000  2 K 3.11
Y 0.0000 0.0000 0.5000  8 Ir 2.91, 2 Y 3.11
Ir 0.5000 0.5000 0.3222  1 Ir 2.67, 4 Y 2.91

=====

The following is a DFT calculation (GGA-PBE) of an optimized crystal structure of PrSm3Pd12.

## Properties
E = -5.869 eV per atom
Calculated volume = 293.3 Å³ per cell
Total moment = 0.00 μB per formula unit
Mass density = 10.58 g/cm³

Cell: 4.1762 4.1762 16.8168 Å, 90.00 90.00 90.00°
Last column: nearest neighbours and their distance in Å.
Space group P4/mmm (No. 123)
Inequivalent atoms, fractional coordinates:
Pr 0.0000 0.0000 0.0000  12 Pd 2.95-2.99
Sm 0.0000 0.0000 0.2518  12 Pd 2.95-2.96
Sm 0.0000 0.0000 0.5000  12 Pd 2.95
Pd 0.0000 0.5000 0.1275  8 Pd 2.95-2.99, 2 Sm 2.96, 2 Pr 2.99
Pd 0.0000 0.5000 0.3757  4 Sm 2.95, 8 Pd 2.95-2.96
Pd 0.5000 0.5000 0.0000  4 Pr 2.95, 8 Pd 2.99
Pd 0.5000 0.5000 0.2512  8 Pd 2.95-2.96, 4 Sm 2.95
Pd 0.5000 0.5000 0.5000  4 Sm 2.95, 8 Pd 2.95

=====

The following is a DFT calculation (GGA-PBE) of an optimized crystal structure of CaYVAg2.

## Properties
E = -3.726 eV per atom
Calculated volume = 135.0 Å³ per cell
Total moment = 3.47 μB per formula unit
Mass density = 4.87 g/cm³

Cell: 5.1283 5.1283 5.1318 Å, 90.00 90.00 90.00°
Last column: nearest neighbours and their distance in Å.
Space group P4/mmm (No. 123)
Inequivalent atoms, fractional coordinates:
Ca 0.0000 0.0000 0.0000  4 Ag 2.56, 2 V 2.57
Y 0.5000 0.5000 0.5000  4 V 3.63, 8 Ag 3.63
V 0.0000 0.0000 0.5000  2 Ca 2.57
Ag 0.0000 0.5000 0.0000  2 Ca 2.56

=====

The following is a DFT calculation (GGA-PBE) of an optimized crystal structure of CeFeI6.

## Properties
E = -3.729 eV per atom
Calculated volume = 746.6 Å³ per cell
Total moment = 3.95 μB per formula unit
Formation energy (no corrections) = -0.767 eV/atom
Mass density = 4.26 g/cm³

Cell: 7.9101 13.4797 7.0032 Å, 90.00 90.84 90.00°
Last column: nearest neighbours and their distance in Å.
Space group C2/m (No. 12)
Inequivalent atoms, fractional coordinates:
Ce 0.0000 0.0000 0.0000  6 I 3.03
Fe 0.0000 0.0000 0.5000  6 I 2.83
I 0.1488 0.1509 0.7286  1 Fe 2.83, 1 Ce 3.03
I 0.2028 0.5000 0.7213  1 Fe 2.83, 1 Ce 3.03

=====

The following is a DFT calculation (GGA-PBE) of an optimized crystal structure of SiCl.

## Properties
Energy relative to the lowest polymorph listed for this composition = 0.938 eV/atom
E = -3.371 eV per atom
Calculated volume = 77.0 Å³ per cell
Total moment = 0.00 μB per formula unit
Formation energy (no corrections) = 0.264 eV/atom
Mass density = 2.74 g/cm³

Cell: 3.1668 5.5624 4.3740 Å, 90.00 90.00 90.00°
Last column: nearest neighbours and their distance in Å.
Space group Cmmm (No. 65)
Inequivalent atoms, fractional coordinates:
Si 0.0000 0.0000 0.0000  4 Cl 2.70
Cl 0.0000 0.5000 0.5000  4 Si 2.70

=====

The following is a DFT calculation (GGA-PBE) of an optimized crystal structure of LiNiAgGe.

## Properties
E = -3.926 eV per atom
Calculated volume = 223.3 Å³ per cell
Total moment = 0.00 μB per formula unit
Mass density = 7.32 g/cm³

Cell: 6.0669 6.0669 6.0669 Å, 90.00 90.00 90.00°
Last column: nearest neighbours and their distance in Å.
Space group F-43m (No. 216)
Inequivalent atoms, fractional coordinates:
Li 0.0000 0.0000 0.0000  4 Ni 2.63, 4 Ag 2.63
Ni 0.2500 0.2500 0.7500  4 Li 2.63, 4 Ge 2.63
Ag 0.2500 0.2500 0.2500  4 Ge 2.63, 4 Li 2.63
Ge 0.0000 0.0000 0.5000  4 Ni 2.63, 4 Ag 2.63

=====

The following is a DFT calculation (GGA-PBE) of an optimized crystal structure of Li3LaCr.

## Properties
Energy relative to the lowest polymorph listed for this composition = 1.349 eV/atom
E = -2.138 eV per atom
Calculated volume = 107.4 Å³ per cell
Total moment = 0.00 μB per formula unit
Mass density = 3.28 g/cm³

Cell: 4.7526 4.7526 4.7526 Å, 90.00 90.00 90.00°
Last column: nearest neighbours and their distance in Å.
Space group Pm-3m (No. 221)
Inequivalent atoms, fractional coordinates:
Li 0.0000 0.0000 0.5000  2 La 2.38
La 0.0000 0.0000 0.0000  6 Li 2.38
Cr 0.5000 0.5000 0.5000  12 Li 3.36

=====

The following is a DFT calculation (GGA-PBE) of an optimized crystal structure of Tc4BCl2.

## Properties
E = -6.448 eV per atom
Calculated volume = 210.0 Å³ per cell
Total moment = 1.46 μB per formula unit
Formation energy (no corrections) = 0.957 eV/atom
Mass density = 7.49 g/cm³

Cell: 4.2335 4.2335 11.7173 Å, 90.00 90.00 90.00°
Last column: nearest neighbours and their distance in Å.
Space group I4/mmm (No. 139)
Inequivalent atoms, fractional coordinates:
Tc 0.0000 0.0000 0.1829  1 B 2.14, 1 Cl 2.31
Tc 0.0000 0.5000 0.0000  2 B 2.12
B 0.0000 0.0000 0.0000  6 Tc 2.12-2.14
Cl 0.0000 0.0000 0.3802  5 Tc 2.31-2.54

=====

The following is a DFT calculation (GGA-PBE) of an optimized crystal structure of Ho2TlHg.

## Properties
E = -3.360 eV per atom
Calculated volume = 105.1 Å³ per cell
Total moment = 0.00 μB per formula unit
Mass density = 11.61 g/cm³

Cell: 3.7484 3.7484 7.4831 Å, 90.00 90.00 90.00°
Last column: nearest neighbours and their distance in Å.
Space group P4/mmm (No. 123)
Inequivalent atoms, fractional coordinates:
Ho 0.0000 0.0000 0.2413  4 Hg 3.21, 4 Tl 3.28
Tl 0.5000 0.5000 0.5000  8 Ho 3.28
Hg 0.5000 0.5000 0.0000  8 Ho 3.21

=====

The following is a DFT calculation (GGA-PBE) of an optimized crystal structure of Pm2SmHgC.

## Properties
E = -4.995 eV per atom
Calculated volume = 128.8 Å³ per cell
Total moment = 0.00 μB per formula unit
Mass density = 8.42 g/cm³

Cell: 5.0642 5.0642 5.0222 Å, 90.00 90.00 90.00°
Last column: nearest neighbours and their distance in Å.
Space group P4/mmm (No. 123)
Inequivalent atoms, fractional coordinates:
Pm 0.0000 0.5000 0.0000  2 C 2.53
Sm 0.0000 0.0000 0.5000  2 C 2.51
Hg 0.5000 0.5000 0.5000  8 Pm 3.57, 4 Sm 3.58
C 0.0000 0.0000 0.0000  2 Sm 2.51, 4 Pm 2.53

=====

The following is a DFT calculation (GGA-PBE) of an optimized crystal structure of SrCo2H7.

## Properties
E = -4.121 eV per atom
Calculated volume = 151.2 Å³ per cell
Total moment = 0.55 μB per formula unit
Mass density = 4.67 g/cm³

Cell: 4.9316 8.7935 3.4855 Å, 90.00 90.00 90.00°
Last column: nearest neighbours and their distance in Å.
Space group Cmmm (No. 65)
Inequivalent atoms, fractional coordinates:
Sr 0.0000 0.0000 0.0000  8 H 2.40
Co 0.0000 0.3137 0.5000  7 H 1.59-1.74
H 0.0000 0.3227 0.0000  2 Co 1.74
H 0.0000 0.5000 0.5000  2 Co 1.64
H 0.1823 0.1577 0.5000  2 Co 1.59-1.64, 1 H 1.75

=====

The following is a DFT calculation (GGA-PBE) of an optimized crystal structure of ErTl2AgF6.

## Properties
E = -4.906 eV per atom
Calculated volume = 381.5 Å³ per cell
Total moment = 0.10 μB per formula unit
Formation energy (no corrections) = -2.568 eV/atom
Mass density = 6.95 g/cm³

Cell: 6.3668 6.4491 11.2066 Å, 90.00 123.99 90.00°
Last column: nearest neighbours and their distance in Å.
Space group P2_1/c (No. 14)
Inequivalent atoms, fractional coordinates:
Er 0.0000 0.0000 0.0000  6 F 2.17
Tl 0.2603 0.0356 0.7518  4 F 2.76-2.89
Ag 0.5000 0.0000 0.5000  6 F 2.47-2.60
F 0.1461 0.0267 0.2266  1 Er 2.17
F 0.2316 0.7268 0.0437  1 Er 2.17
F 0.3100 0.1922 0.0352  1 Er 2.17